A plane-wave DFT calculation with GGA-PBE was carried out for an optimized crystal structure of HoTm2Ga2Cu2.

a b c (Å): 4.351 4.351 9.344
angles (deg): 76.54 76.54 60.00
Sites, in units of the cell vectors:
Ho 0.000 0.000 0.000
Tm 0.124 0.124 0.627
Tm 0.876 0.876 0.373
Ga 0.737 0.737 0.788
Ga 0.263 0.263 0.212
Cu 0.601 0.601 0.197
Cu 0.399 0.399 0.803

Summary:
Its size of the total moment is 0.0 μB per cell. The formation energy is -0.3967 eV/atom.

***

A plane-wave DFT calculation with GGA-PBE was carried out for an optimized crystal structure of CaVP2Ru.

a b c (Å): 4.048 4.048 5.771
angles (deg): 110.53 110.53 90.00
Sites, in units of the cell vectors:
Ca 0.000 0.000 0.000
V 0.750 0.250 0.500
P 0.627 0.627 0.254
P 0.373 0.373 0.746
Ru 0.250 0.750 0.500

Summary:
Its size of the total moment is 1.6 μB per cell. The formation energy is -0.8260 eV/atom.

***

A plane-wave DFT calculation with GGA-PBE was carried out for an optimized crystal structure of InCuTe2S.

a b c (Å): 5.243 5.476 5.243
angles (deg): 90.00 90.00 90.00
Sites, in units of the cell vectors:
S 0.000 0.000 0.000
Te 0.000 0.000 0.500
Te 0.500 0.000 0.000
Cu 0.500 0.500 0.500
In 0.000 0.500 0.000

Summary:
For the uncorrected formation energy, the calculation gives 601 meV per atom. Its size of the total moment is 0.0 μB per cell.